First-principles (PBE) data for a relaxed structure of Mg5Bi3, as listed in Alexandria via LeMat-Bulk.

Lattice parameters (Å, degrees): 6.8839 15.9662 8.6758 90.00 113.18 90.00
Space group Cm (No. 8)
Unique sites:
1 Mg 0.0000 0.0000 0.0000 [2 per cell]
2 Mg 0.0006 0.5000 0.0016 [2 per cell]
3 Mg 0.0153 0.3998 0.3539 [4 per cell]
4 Mg 0.1616 0.1006 0.6473 [4 per cell]
5 Mg 0.2388 0.3235 0.8003 [4 per cell]
6 Mg 0.4388 0.3234 0.2018 [4 per cell]
7 Bi 0.0846 0.5000 0.6816 [2 per cell]
8 Bi 0.2457 0.1597 0.0009 [4 per cell]
9 Bi 0.3115 0.2502 0.5003 [4 per cell]
10 Bi 0.4067 0.5000 0.3205 [2 per cell]

## Properties
**Total magnetization**: 0.0 μB per cell
**ΔH_f (0 K)**: -0.13 eV/atom
**Fermi-level density of states**: 12.74 states/eV/cell

---

First-principles (PBE) data for a relaxed structure of Mg3Bi, as listed in Alexandria via LeMat-Bulk.

Lattice parameters (Å, degrees): 6.3644 6.3991 9.7319 90.00 90.00 90.00
Space group Fmmm (No. 69)
Unique sites:
1 Mg 0.0000 0.0000 0.0000 [4 per cell]
2 Mg 0.2500 0.2500 0.2500 [8 per cell]
3 Bi 0.0000 0.0000 0.5000 [4 per cell]

## Properties
**Total magnetization**: 0.0 μB per cell
**ΔH_f (0 K)**: -0.08 eV/atom
**Fermi-level density of states**: 7.01 states/eV/cell